A plane-wave DFT calculation with PBEsol was carried out for a relaxed structure of La2AlRe.

Properties
Its total energy is -27.32 eV per formula unit. The calculation puts the energy relative to the elements at 0.199 eV per atom. Its density of states at the Fermi level is 1.309 states/eV per atom. Its calculated volume is 341.1 Å³ per cell.

Cell lengths 6.9870, 6.9870, 6.9870 Å; angles 90.00, 90.00, 90.00 degrees
Fractional positions:
La: 0.0000 0.0000 0.0000
La: 0.0000 0.5000 0.5000
La: 0.2500 0.2500 0.2500
La: 0.2500 0.7500 0.7500
La: 0.5000 0.0000 0.5000
La: 0.5000 0.5000 0.0000
La: 0.7500 0.2500 0.7500
La: 0.7500 0.7500 0.2500
Al: 0.2500 0.2500 0.7500
Al: 0.2500 0.7500 0.2500
Al: 0.7500 0.2500 0.2500
Al: 0.7500 0.7500 0.7500
Re: 0.0000 0.0000 0.5000
Re: 0.0000 0.5000 0.0000
Re: 0.5000 0.0000 0.0000
Re: 0.5000 0.5000 0.5000

A plane-wave DFT calculation with PBEsol was carried out for a relaxed structure of LaAl2ReSb.

Properties
The calculation puts the energy relative to the elements, uncorrected at 1.539 eV/atom. Its total energy is -23.73 eV per formula unit. Its density of states at the Fermi level is 0.905 states/eV per atom. Its calculated volume is 146.8 Å³ per cell.

Cell lengths 5.0021, 5.0021, 5.8680 Å; angles 90.00, 90.00, 90.00 degrees
Fractional positions:
La: 0.0000 0.0000 0.0000
Al: 0.0000 0.5000 0.5000
Al: 0.5000 0.0000 0.5000
Re: 0.5000 0.5000 0.0000
Sb: 0.0000 0.0000 0.5000

A plane-wave DFT calculation with PBEsol was carried out for a relaxed structure of LaAlRh2.

Properties
Its total energy is -27.80 eV per formula unit. The calculation puts the energy relative to the elements at -0.521 eV per atom. Its density of states at the Fermi level is 0.399 states/eV per atom. Its calculated volume is 141.4 Å³ per cell.

Cell lengths 3.8451, 3.8451, 9.5639 Å; angles 90.00, 90.00, 90.00 degrees
Fractional positions:
La: 0.0000 0.0000 0.0000
La: 0.5000 0.5000 0.5000
Al: 0.0000 0.5000 0.7500
Al: 0.5000 0.0000 0.2500
Rh: 0.0000 0.0000 0.5000
Rh: 0.0000 0.5000 0.2500
Rh: 0.5000 0.0000 0.7500
Rh: 0.5000 0.5000 0.0000

A plane-wave DFT calculation with PBEsol was carried out for a relaxed structure of LaAl2Rh.

Properties
Its total energy is -22.74 eV per formula unit. The calculation puts the energy relative to the elements at -0.268 eV per atom. Its density of states at the Fermi level is 0.724 states/eV per atom. Its calculated volume is 231.7 Å³ per cell.

Cell lengths 3.1347, 3.1347, 27.2293 Å; angles 90.00, 90.00, 120.00 degrees
Fractional positions:
La: 0.0000 0.0000 0.0000
La: 0.3333 0.6667 0.6667
La: 0.6667 0.3333 0.3333
Al: 0.0000 0.0000 0.2311
Al: 0.0000 0.0000 0.7689
Al: 0.3333 0.6667 0.4356
Al: 0.3333 0.6667 0.8978
Al: 0.6667 0.3333 0.1022
Al: 0.6667 0.3333 0.5644
Rh: 0.0000 0.0000 0.5000
Rh: 0.3333 0.6667 0.1667
Rh: 0.6667 0.3333 0.8333

A plane-wave DFT calculation with PBEsol was carried out for a relaxed structure of LaAl2Rh2.

Properties
Its total energy is -33.85 eV per formula unit. The calculation puts the energy relative to the elements at -0.809 eV per atom. Its density of states at the Fermi level is 0.551 states/eV per atom. Its calculated volume is 183.5 Å³ per cell.

Cell lengths 4.0208, 4.0208, 11.3495 Å; angles 90.00, 90.00, 90.00 degrees
Fractional positions:
La: 0.0000 0.0000 0.0000
La: 0.5000 0.5000 0.5000
Al: 0.0000 0.5000 0.2500
Al: 0.0000 0.5000 0.7500
Al: 0.5000 0.0000 0.2500
Al: 0.5000 0.0000 0.7500
Rh: 0.0000 0.0000 0.3812
Rh: 0.0000 0.0000 0.6188
Rh: 0.5000 0.5000 0.1188
Rh: 0.5000 0.5000 0.8812

A plane-wave DFT calculation with PBEsol was carried out for a relaxed structure of LaAlRh.

Properties
Its total energy is -17.60 eV per formula unit. The calculation puts the energy relative to the elements at -0.009 eV per atom. Its density of states at the Fermi level is 1.034 states/eV per atom. Its calculated volume is 273.1 Å³ per cell.

Cell lengths 6.4878, 6.4878, 6.4878 Å; angles 90.00, 90.00, 90.00 degrees
Fractional positions:
La: 0.0000 0.0000 0.0000
La: 0.0000 0.5000 0.5000
La: 0.5000 0.0000 0.5000
La: 0.5000 0.5000 0.0000
Al: 0.2500 0.2500 0.2500
Al: 0.2500 0.7500 0.7500
Al: 0.7500 0.2500 0.7500
Al: 0.7500 0.7500 0.2500
Rh: 0.0000 0.0000 0.5000
Rh: 0.0000 0.5000 0.0000
Rh: 0.5000 0.0000 0.0000
Rh: 0.5000 0.5000 0.5000

A plane-wave DFT calculation with PBEsol was carried out for a relaxed structure of LaAl2Rh.

Properties
Its total energy is -24.30 eV per formula unit. The calculation puts the energy relative to the elements at -0.657 eV per atom. Its density of states at the Fermi level is 1.064 states/eV per atom. Its calculated volume is 251.1 Å³ per cell.

Cell lengths 4.2141, 4.2141, 16.3262 Å; angles 90.00, 90.00, 120.00 degrees
Fractional positions:
La: 0.0000 0.0000 0.0000
La: 0.3333 0.6667 0.6667
La: 0.6667 0.3333 0.3333
Al: 0.0000 0.0000 0.2047
Al: 0.0000 0.0000 0.7953
Al: 0.3333 0.6667 0.4620
Al: 0.3333 0.6667 0.8714
Al: 0.6667 0.3333 0.1286
Al: 0.6667 0.3333 0.5380
Rh: 0.0000 0.0000 0.5000
Rh: 0.3333 0.6667 0.1667
Rh: 0.6667 0.3333 0.8333

A plane-wave DFT calculation with PBEsol was carried out for a relaxed structure of LaAlRh2.

Properties
Its total energy is -26.15 eV per formula unit. The calculation puts the energy relative to the elements at -0.108 eV per atom. Its density of states at the Fermi level is 0.770 states/eV per atom. Its calculated volume is 289.2 Å³ per cell.

Cell lengths 6.6127, 6.6127, 6.6127 Å; angles 90.00, 90.00, 90.00 degrees
Fractional positions:
La: 0.0000 0.0000 0.0000
La: 0.0000 0.5000 0.5000
La: 0.5000 0.0000 0.5000
La: 0.5000 0.5000 0.0000
Al: 0.2500 0.2500 0.7500
Al: 0.2500 0.7500 0.2500
Al: 0.7500 0.2500 0.2500
Al: 0.7500 0.7500 0.7500
Rh: 0.0000 0.0000 0.5000
Rh: 0.0000 0.5000 0.0000
Rh: 0.2500 0.2500 0.2500
Rh: 0.2500 0.7500 0.7500
Rh: 0.5000 0.0000 0.0000
Rh: 0.5000 0.5000 0.5000
Rh: 0.7500 0.2500 0.7500
Rh: 0.7500 0.7500 0.2500

A plane-wave DFT calculation with PBEsol was carried out for a relaxed structure of LaAlRh.

Properties
Its total energy is -19.96 eV per formula unit. The calculation puts the energy relative to the elements at -0.795 eV per atom. Its density of states at the Fermi level is 0.641 states/eV per atom. Its calculated volume is 243.1 Å³ per cell.

Cell lengths 7.0270, 4.2671, 8.1085 Å; angles 90.00, 90.00, 90.00 degrees
Fractional positions:
La: 0.0415 0.2500 0.1797
La: 0.4585 0.7500 0.6797
La: 0.5415 0.2500 0.3203
La: 0.9585 0.7500 0.8203
Al: 0.1290 0.2500 0.5605
Al: 0.3710 0.7500 0.0605
Al: 0.6290 0.2500 0.9395
Al: 0.8710 0.7500 0.4395
Rh: 0.2328 0.7500 0.3830
Rh: 0.2672 0.2500 0.8830
Rh: 0.7328 0.7500 0.1170
Rh: 0.7672 0.2500 0.6170

A plane-wave DFT calculation with PBEsol was carried out for a relaxed structure of LaAl2Rh.

Properties
Its total energy is -24.29 eV per formula unit. The calculation puts the energy relative to the elements at -0.655 eV per atom. Its density of states at the Fermi level is 0.700 states/eV per atom. Its calculated volume is 255.6 Å³ per cell.

Cell lengths 4.3637, 4.3637, 15.4978 Å; angles 90.00, 90.00, 120.00 degrees
Fractional positions:
La: 0.0000 0.0000 0.0000
La: 0.3333 0.6667 0.6667
La: 0.6667 0.3333 0.3333
Al: 0.0000 0.0000 0.5299
Al: 0.0000 0.0000 0.7994
Al: 0.3333 0.6667 0.1965
Al: 0.3333 0.6667 0.4660
Al: 0.6667 0.3333 0.1327
Al: 0.6667 0.3333 0.8632
Rh: 0.0000 0.0000 0.1809
Rh: 0.3333 0.6667 0.8475
Rh: 0.6667 0.3333 0.5142

A plane-wave DFT calculation with PBEsol was carried out for a relaxed structure of La2Al9Rh3.

Properties
Its total energy is -82.98 eV per formula unit. The calculation puts the energy relative to the elements at -0.789 eV per atom. Its density of states at the Fermi level is 0.432 states/eV per atom. Its calculated volume is 481.9 Å³ per cell.

Cell lengths 7.5932, 7.5932, 9.5623 Å; angles 90.00, 90.00, 60.95 degrees
Fractional positions:
La: 0.0050 0.6726 0.7500
La: 0.3274 0.9950 0.7500
La: 0.6726 0.0050 0.2500
La: 0.9950 0.3274 0.2500
Al: 0.0034 0.6635 0.0740
Al: 0.0034 0.6635 0.4260
Al: 0.1331 0.8669 0.2500
Al: 0.3340 0.6660 0.5414
Al: 0.3340 0.6660 0.9586
Al: 0.3365 0.9966 0.0740
Al: 0.3365 0.9966 0.4260
Al: 0.3410 0.4514 0.2500
Al: 0.4514 0.3410 0.7500
Al: 0.5486 0.6590 0.2500
Al: 0.6590 0.5486 0.7500
Al: 0.6635 0.0034 0.5740
Al: 0.6635 0.0034 0.9260
Al: 0.6660 0.3340 0.0414
Al: 0.6660 0.3340 0.4586
Al: 0.8669 0.1331 0.7500
Al: 0.9966 0.3365 0.5740
Al: 0.9966 0.3365 0.9260
Rh: 0.0000 0.0000 0.0000
Rh: 0.0000 0.0000 0.5000
Rh: 0.3293 0.3293 0.0000
Rh: 0.3293 0.3293 0.5000
Rh: 0.6707 0.6707 0.0000
Rh: 0.6707 0.6707 0.5000

A plane-wave DFT calculation with PBEsol was carried out for a relaxed structure of LaAl2Ru.

Properties
Its total energy is -25.58 eV per formula unit. The calculation puts the energy relative to the elements at -0.471 eV per atom. Its density of states at the Fermi level is 0.727 states/eV per atom. Its calculated volume is 73.5 Å³ per cell.

Cell lengths 3.1100, 3.1100, 7.5961 Å; angles 90.00, 90.00, 90.00 degrees
Fractional positions:
La: 0.0000 0.0000 0.0000
Al: 0.5000 0.5000 0.3230
Al: 0.5000 0.5000 0.6770
Ru: 0.0000 0.0000 0.5000